Hg3IrS after structural relaxation, computed with GGA-PBE.

The structure in POSCAR format:
```
Hg3IrS
1.0
5.2433 0.0000 0.0000
0.0000 5.2433 0.0000
0.0000 0.0000 5.2433
Hg S Ir
3 1 1
Direct
0.5000 0.0000 0.0000 Hg
0.0000 0.0000 0.5000 Hg
0.0000 0.5000 0.0000 Hg
0.5000 0.5000 0.5000 S
0.0000 0.0000 0.0000 Ir
```

Density in kg/m3: 9516
Space group: No. 221
Crystal system: cubic
ΔE to the lowest computed polymorph in meV per atom: 0.0